Material: LaYO
Method: DFT, PBE
State: optimized geometry

Calculated values
E_form (uncorrected) (kJ/mol of atoms): -169.3
Fermi-level density of states (states/eV/cell): 1.6
E above lowest polymorph (eV per atom): 0.021
Symmetry: No. 156

Geometry as extended XYZ:
```
3
Lattice="-2.184 2.324 -1.718 0.498 -3.335 -1.325 -4.765 -2.028 3.314" Properties=species:S:1:pos:R:3 pbc="T T T"
Y -3.005 -2.559 0.359
O -2.999 -0.290 -0.398
La -0.446 -0.190 0.310
```